Compound: RbW2O6
Source: Alexandria
Functional: PBE with a Hubbard U
Structure: relaxed

The structure belongs to space group Fd-3m (No. 227, origin choice 2); the cell edges are 10.4887, 10.4887 and 10.4887 Å and the angles 90.00°, 90.00° and 90.00°. The distinct sites, in fractional coordinates, are Rb at (0.1250, 0.1250, 0.1250), W at (0.0000, 0.0000, 0.5000) and O at (0.0617, 0.3750, 0.8750).

The calculated total energy comes out at -507.092 eV per cell. As for the density of states at the Fermi level: 4.13 states/eV/f.u.